Entry 1:
LaTlP | PBE-GGA | relaxed

Values from the calculation:
M_tot = 0.000 μB/f.u.
Theoretical density = 7.8 Mg/m³
Energy above the lowest structure with this stoichiometry = 620 meV per atom
Fermi-level density of states = 2.02 states/eV/f.u.
Symmetry = P6_3/mmc, No. 194

Structure (extended XYZ):
```
6
Lattice="2.6357 -4.5651 0.0000 2.6357 4.5651 0.0000 0.0000 0.0000 6.5865" Properties=species:S:1:pos:R:3 pbc="T T T"
La 2.6357 -1.5217 1.6466
La 2.6357 1.5217 4.9399
P 0.0000 0.0000 0.0000
P 0.0000 0.0000 3.2932
Tl 2.6357 -1.5217 4.9399
Tl 2.6357 1.5217 1.6466
```



Entry 2:
LaTlP | PBE-GGA | relaxed

Values from the calculation:
M_tot = 0.000 μB/f.u.
Theoretical density = 7.8 Mg/m³
Energy above the lowest structure with this stoichiometry = 340 meV per atom
Fermi-level density of states = 2.05 states/eV/f.u.
Symmetry = P6_3/mmc, No. 194

Structure (extended XYZ):
```
6
Lattice="2.3808 -4.1237 0.0000 2.3808 4.1237 0.0000 0.0000 0.0000 8.1151" Properties=species:S:1:pos:R:3 pbc="T T T"
La 0.0000 0.0000 4.0576
La 0.0000 0.0000 0.0000
Tl 2.3808 1.3746 6.0863
Tl 2.3808 -1.3746 2.0288
P 2.3808 1.3746 2.0288
P 2.3808 -1.3746 6.0863
```



Entry 3:
La3Tl2P | PBE-GGA | relaxed

Values from the calculation:
M_tot = 0.000 μB/f.u.
Theoretical density = 7.5 Mg/m³
Fermi-level density of states = 4.33 states/eV/f.u.
Symmetry = P2_1/m, No. 11
Uncorrected energy = -4.89 eV/atom

Structure (extended XYZ):
```
12
Lattice="-3.8941 -3.2188 2.4250 4.5361 -0.5760 6.5257 -5.6476 5.2937 4.3970" Properties=species:S:1:pos:R:3 pbc="T T T"
Tl -2.2478 0.9152 4.0823
Tl -2.7578 0.5838 9.2655
Tl -5.0245 0.8703 6.0086
Tl 0.0189 0.6287 7.3392
La -0.2983 -2.0507 9.7584
La -2.5661 -1.7634 6.4953
La -2.4395 3.2623 6.8524
La -4.7073 3.5496 3.5893
La -0.8156 -1.7548 2.8447
La -4.1900 3.2538 10.5031
P 1.1318 -0.1458 1.6326
P -0.4898 -3.6490 7.3181
```



Entry 4:
LaTlP2 | PBE-GGA | relaxed

Values from the calculation:
M_tot = 0.000 μB/f.u.
Theoretical density = 6.4 Mg/m³
Energy above the lowest structure with this stoichiometry = 162 meV per atom
Symmetry = C2/m, No. 12

Structure (extended XYZ):
```
4
Lattice="4.2523 -0.0053 0.0000 1.9444 3.7817 0.0000 1.0633 0.6480 6.5755" Properties=species:S:1:pos:R:3 pbc="T T T"
La 5.4449 3.3183 4.9317
P 3.4584 2.1076 3.3032
P 1.2349 0.7526 6.5601
Tl 1.8150 1.1061 1.6439
```



Entry 5:
LaTlP2 | PBE-GGA | relaxed

Values from the calculation:
M_tot = 0.000 μB/f.u.
Theoretical density = 6.2 Mg/m³
Energy above the lowest structure with this stoichiometry = 231 meV per atom
Fermi-level density of states = 0.00 states/eV/f.u.
Symmetry = I-42d, No. 122

Structure (extended XYZ):
```
8
Lattice="-1.7750 -6.7448 -1.9782 3.6274 0.8686 -6.2164 4.3401 -4.3623 -2.3042" Properties=species:S:1:pos:R:3 pbc="T T T"
Tl 1.7457 -7.0226 -4.1899
Tl 0.0000 0.0000 0.0000
P 3.1856 -1.1806 -4.6469
P 3.8367 -5.5024 -4.6075
P 0.3738 -5.4077 -2.6511
P 4.9890 -8.3863 -9.0921
La 4.4469 -3.2159 -6.3089
La 0.9262 -2.9381 -4.0973
```



Entry 6:
LaTlP2 | PBE-GGA | relaxed

Values from the calculation:
M_tot = 0.000 μB/f.u.
Theoretical density = 6.6 Mg/m³
Energy above the lowest structure with this stoichiometry = 199 meV per atom
Fermi-level density of states = 0.60 states/eV/f.u.
Symmetry = R-3m, No. 166

Structure (extended XYZ):
```
4
Lattice="-2.8252 -1.7410 5.9322 -5.1707 -3.4440 2.7579 -1.4942 -5.3200 3.9583" Properties=species:S:1:pos:R:3 pbc="T T T"
Tl -2.3725 -2.6262 3.1621
La -7.1176 -7.8787 9.4863
P -9.4783 -10.4919 12.6327
P -4.7568 -5.2655 6.3399
```